First-principles (PBE) data for BaHgTe2 after structural relaxation, as listed in Alexandria via LeMat-Bulk.

Values from the calculation:
Formation energy without anion corrections = -0.120 eV per atom
M_tot = 0.30 Bohr magnetons per cell

a = 4.4052 Å, b = 4.4052 Å, c = 29.9964 Å
α = 90.00°, β = 90.00°, γ = 120.00°
Space group R-3m (No. 166, hexagonal axes)
Inequivalent atoms, fractional coordinates:
Ba (0.0000, 0.0000, 0.0000) x3
Hg (0.0000, 0.0000, 0.5000) x3
Te (0.0000, 0.0000, 0.1112) x6

First-principles (PBE) data for GaBi2Os2 after structural relaxation, as listed in Alexandria via LeMat-Bulk.

Values from the calculation:
Energy relative to the lowest polymorph listed for this composition = 0 meV per atom
M_tot = 0.00 Bohr magnetons per cell
Energy relative to the elements = 0.795 eV/atom

a = 5.489 Å, b = 5.489 Å, c = 7.566 Å
α = 90.00°, β = 90.00°, γ = 90.00°
Space group I4/mmm (No. 139)
Inequivalent atoms, fractional coordinates:
Ga (0.000, 0.000, 0.000) x2
Bi (0.000, 0.500, 0.250) x4
Os (0.000, 0.000, 0.343) x4

First-principles (PBE) data for TaCdSe after structural relaxation, as listed in Alexandria via LeMat-Bulk.

Values from the calculation:
Energy relative to the lowest polymorph listed for this composition = 847 meV per atom
Formation energy without anion corrections = 0.669 eV per atom
M_tot = 0.01 Bohr magnetons per cell

a = 6.358 Å, b = 6.358 Å, c = 6.358 Å
α = 90.00°, β = 90.00°, γ = 90.00°
Space group F-43m (No. 216)
Inequivalent atoms, fractional coordinates:
Ta (0.000, 0.000, 0.000) x4
Cd (0.000, 0.000, 0.500) x4
Se (0.250, 0.250, 0.750) x4

First-principles (PBE) data for Mn3IrCl after structural relaxation, as listed in Alexandria via LeMat-Bulk.

Values from the calculation:
Energy relative to the lowest polymorph listed for this composition = 0 meV per atom
Formation energy without anion corrections = 0.734 eV per atom
M_tot = 13.56 Bohr magnetons per cell

a = 4.912 Å, b = 4.912 Å, c = 4.912 Å
α = 90.00°, β = 90.00°, γ = 90.00°
Space group Pm-3m (No. 221)
Inequivalent atoms, fractional coordinates:
Mn (0.000, 0.000, 0.500) x3
Ir (0.000, 0.000, 0.000) x1
Cl (0.500, 0.500, 0.500) x1

First-principles (PBE) data for Tb2SmYBi5 after structural relaxation, as listed in Alexandria via LeMat-Bulk.

Values from the calculation:
M_tot = 0.00 Bohr magnetons per cell
Energy relative to the elements = 0.065 eV/atom

a = 5.505 Å, b = 5.505 Å, c = 11.890 Å
α = 90.00°, β = 90.00°, γ = 90.00°
Space group P4/mmm (No. 123)
Inequivalent atoms, fractional coordinates:
Tb (0.000, 0.000, 0.230) x2
Sm (0.500, 0.500, 0.000) x1
Y (0.500, 0.500, 0.500) x1
Bi (0.000, 0.000, 0.500) x1
Bi (0.000, 0.500, 0.000) x2
Bi (0.500, 0.500, 0.256) x2

First-principles (PBE) data for V2ZnPd4 after structural relaxation, as listed in Alexandria via LeMat-Bulk.

Values from the calculation:
M_tot = 9.77 Bohr magnetons per cell
Energy relative to the elements = 0.560 eV/atom

a = 4.636 Å, b = 4.636 Å, c = 12.373 Å
α = 90.00°, β = 90.00°, γ = 90.00°
Space group I4/mmm (No. 139)
Inequivalent atoms, fractional coordinates:
V (0.000, 0.000, 0.109) x4
Zn (0.000, 0.000, 0.500) x2
Pd (0.000, 0.000, 0.299) x4
Pd (0.000, 0.500, 0.000) x4